No. 1
Material: VReO3
Method: DFT, PBE with a Hubbard U
State: optimized geometry

- density of states at the Fermi level (states/eV/cell) = 7.7
- calculated total energy (eV/cell) = -38.63
- SG = Pm-3m (221)

Structure (extended XYZ):
```
5
Lattice="3.918 0.000 0.000 0.000 3.918 0.000 0.000 0.000 3.918" Properties=species:S:1:pos:R:3 pbc="T T T"
O 1.959 0.000 0.000
O 0.000 1.959 0.000
O 0.000 0.000 1.959
V 1.959 1.959 1.959
Re 0.000 0.000 0.000
```



No. 2
Material: V2Re2O11
Method: DFT, PBE with a Hubbard U
State: optimized geometry

- polymorph energy (0 for the lowest one) (meV per atom) = 49
- SG = P1 (1)

Structure (extended XYZ):
```
30
Lattice="6.389 0.186 0.022 -3.213 -7.259 0.257 -0.340 0.355 -10.810" Properties=species:S:1:pos:R:3 pbc="T T T"
O 1.876 -6.190 -0.027
O 1.729 -3.140 -6.879
O -0.282 -1.611 -6.850
O -0.047 -6.872 -2.092
O 1.492 -0.624 -5.367
O 4.318 -0.544 -5.346
O -0.223 -3.717 -8.895
O 2.930 -0.612 -7.860
O 2.831 -6.556 -3.360
O 2.219 -2.567 -2.727
O 2.868 -5.899 -6.003
O -0.217 -2.150 -4.049
O 0.319 -3.999 -1.590
O 2.277 -2.219 -10.657
O 4.186 -3.101 -6.840
O 4.798 -1.964 -1.557
O 3.006 -4.905 -8.878
O 0.602 -0.794 -1.306
O -0.171 -4.850 -6.280
O 3.789 -4.608 -1.403
O -0.115 -0.519 -9.457
O -1.496 -5.953 -10.449
V 2.973 -4.544 -7.224
V 2.926 -1.472 -6.502
V 0.198 -5.734 -0.967
V 0.235 -2.371 -2.401
Re -0.236 -3.376 -7.205
Re -0.303 -0.316 -5.146
Re -3.190 -6.610 -10.443
Re 3.328 -2.932 -1.372
```



No. 3
Material: VReWO2
Method: DFT, PBE with a Hubbard U
State: optimized geometry

- density of states at the Fermi level (states/eV/cell) = 2.8
- calculated total energy (eV/cell) = -34.60
- SG = P4/mmm (123)

Structure (extended XYZ):
```
5
Lattice="-2.091 -2.828 1.293 3.121 -3.883 -3.443 2.437 -0.522 2.798" Properties=species:S:1:pos:R:3 pbc="T T T"
W 0.000 0.000 0.000
O -1.045 -1.414 0.647
O 1.218 -0.261 1.399
Re 1.734 -3.616 0.324
V 1.561 -1.941 -1.722
```